[1]
## CaZnN2O (PBE)

Data for crystalline CaZnN2O at its relaxed geometry.

Values from the calculation:
Formation energy from raw total energies ... 0.22 eV per atom
SG ... No. 123

abc: 3.9026 3.9026 4.1514
angles: 90.00 90.00 90.00
Last column: nearest neighbours and their distance in Å.
Element x y z (fractional)
Ca 0.0000 0.0000 0.0000  4 O 2.76, 8 N 2.85
Zn 0.5000 0.5000 0.5000  4 N 1.95, 2 O 2.08
N 0.0000 0.5000 0.5000  2 Zn 1.95
N 0.5000 0.0000 0.5000  2 Zn 1.95
O 0.5000 0.5000 0.0000  2 Zn 2.08

[2]
## Y2TiInN (PBE)

Data for crystalline Y2TiInN at its relaxed geometry.

Values from the calculation:
Formation energy from raw total energies ... -0.91 eV per atom
SG ... No. 123

abc: 4.9121 4.9121 4.1759
angles: 90.00 90.00 90.00
Last column: nearest neighbours and their distance in Å.
Element x y z (fractional)
Y 0.0000 0.5000 0.0000  2 N 2.46
Y 0.5000 0.0000 0.0000  2 N 2.46
Ti 0.0000 0.0000 0.5000  2 N 2.09
In 0.5000 0.5000 0.5000  8 Y 3.22, 4 Ti 3.47
N 0.0000 0.0000 0.0000  2 Ti 2.09

[3]
## InPSe2 (PBE)

Data for crystalline InPSe2 at its relaxed geometry.

Values from the calculation:
Formation energy from raw total energies ... 0.02 eV per atom
SG ... No. 166

abc: 9.3280 9.3280 9.3280
angles: 21.95 21.95 21.95
Last column: nearest neighbours and their distance in Å.
Element x y z (fractional)
In 0.0000 0.0000 0.0000  2 Se 3.05
P 0.5000 0.5000 0.5000  6 Se 2.54
Se 0.1118 0.1118 0.1118  3 P 2.54
Se 0.8882 0.8882 0.8882  3 P 2.54

[4]
## SnPH6CBr3 (PBE)

Data for crystalline SnPH6CBr3 at its relaxed geometry.

Values from the calculation:
DFT total energy ... -4.026 eV per atom
SG ... No. 1

abc: 7.7458 8.4098 15.6447
angles: 89.99 86.58 86.83
Last column: nearest neighbours and their distance in Å.
Element x y z (fractional)
Sn 0.0000 0.0000 0.0000  3 Br 2.80-2.82
Sn 0.1284 0.5310 0.4935  3 Br 2.81-2.86
Sn 0.4971 0.0224 0.0069  3 Br 2.83-2.85
Sn 0.6281 0.5304 0.5080  3 Br 2.81-2.92
P 0.2901 0.9804 0.2892  3 H 1.41-1.42
P 0.3090 0.5933 0.7755  3 H 1.40-1.42
P 0.7783 0.4651 0.1185  3 H 1.41-1.42
P 0.8307 0.0000 0.6154  3 H 1.41-1.42
H 0.1191 0.9612 0.3228  1 P 1.41
H 0.1595 0.6810 0.7524  1 P 1.40
H 0.1701 0.4168 0.8737  1 C 1.10
H 0.2372 0.5910 0.9267  1 C 1.10
H 0.2833 0.0882 0.2195  1 P 1.42
H 0.3509 0.8297 0.2578  1 P 1.41
H 0.3546 0.4785 0.7104  1 P 1.42
H 0.3736 0.1684 0.3911  1 C 1.10
H 0.3938 0.4338 0.8937  1 C 1.10
H 0.4072 0.9665 0.4271  1 C 1.10
H 0.4429 0.6989 0.7768  1 P 1.40
H 0.5549 0.0467 0.3468  1 C 1.10
H 0.6132 0.4023 0.1268  1 P 1.41
H 0.6852 0.9163 0.5954  1 P 1.41
H 0.6875 0.1702 0.7227  1 C 1.10
H 0.7398 0.6608 0.2304  1 C 1.10
H 0.7806 0.5734 0.0490  1 P 1.42
H 0.7805 0.9900 0.7676  1 C 1.10
H 0.8302 0.4734 0.2682  1 C 1.10
H 0.8600 0.1167 0.5514  1 P 1.42
H 0.9005 0.3390 0.0978  1 P 1.41
H 0.9162 0.1473 0.7353  1 C 1.10
H 0.9629 0.6034 0.2049  1 C 1.10
H 0.9760 0.8919 0.6109  1 P 1.41
C 0.2737 0.5000 0.8775  3 H 1.10
C 0.4195 0.0470 0.3720  3 H 1.10
C 0.8005 0.0854 0.7207  3 H 1.10
C 0.8322 0.5596 0.2154  3 H 1.10
Br 0.2115 0.7722 0.0820  1 Sn 2.81, 3 H 2.86-3.06
Br 0.2310 0.0113 0.8545  1 Sn 2.82
Br 0.2620 0.2550 0.0856  1 H 2.53, 1 Sn 2.83
Br 0.3683 0.5294 0.3512  1 Sn 2.81, 2 H 2.92-3.10
Br 0.3807 0.7741 0.5819  2 H 2.72-2.92, 1 Sn 2.92
Br 0.4369 0.2880 0.5839  1 H 2.57, 1 Sn 2.81
Br 0.6885 0.0045 0.1569  1 Sn 2.85, 2 H 3.10-3.12
Br 0.7011 0.2654 0.9366  2 H 2.82-3.11, 1 Sn 2.83
Br 0.8075 0.7730 0.9227  1 H 2.60, 1 Sn 2.80
Br 0.8319 0.5471 0.6532  1 Sn 2.85
Br 0.9150 0.7793 0.4281  1 H 2.74, 1 Sn 2.82
Br 0.9298 0.2940 0.4214  1 H 2.57, 1 Sn 2.86

no.,ρ (g/cm3)
1,3.9
2,5.8
3,5.1
4,2.7